DFT (GGA-PBE) results for an optimized crystal structure of Dy2AlGaNi6.

a = 4.9392 Å, b = 6.2041 Å, c = 6.2172 Å
α = 81.73°, β = 66.61°, γ = 66.61°
Element x y z (fractional)
Dy (0.2488, 0.2942, 0.2083)
Dy (0.7512, 0.7058, 0.7917)
Al (0.0000, 0.0000, 0.0000)
Ga (0.5000, 0.5000, 0.5000)
Ni (0.2451, 0.7555, 0.2539)
Ni (0.2499, 0.9260, 0.5750)
Ni (0.2551, 0.2447, 0.7467)
Ni (0.7449, 0.7553, 0.2533)
Ni (0.7501, 0.0740, 0.4250)
Ni (0.7549, 0.2445, 0.7461)

Space-group type: P-1 (2)
Magnetization, μB/f.u.: 0.00
Fermi-level density of states, states/eV/cell: 4.82
Final energy, eV for the cell shown: -54.6


DFT (GGA-PBE) results for an optimized crystal structure of LaY3Ru.

a = 6.6201 Å, b = 6.6201 Å, c = 6.6201 Å
α = 93.01°, β = 93.01°, γ = 93.01°
Element x y z (fractional)
La (0.0000, 0.0000, 0.0000)
La (0.5000, 0.5000, 0.5000)
Y (0.0452, 0.7500, 0.4548)
Y (0.2500, 0.5452, 0.9548)
Y (0.4548, 0.0452, 0.7500)
Y (0.5452, 0.9548, 0.2500)
Y (0.7500, 0.4548, 0.0452)
Y (0.9548, 0.2500, 0.5452)
Ru (0.2500, 0.2500, 0.2500)
Ru (0.7500, 0.7500, 0.7500)

Space-group type: R-3c (167)
Magnetization, μB/f.u.: 0.00
Fermi-level density of states, states/eV/cell: 12.70
Final energy, eV for the cell shown: -67.5


DFT (GGA-PBE) results for an optimized crystal structure of NdYTm4S8.

a = 8.0373 Å, b = 8.0373 Å, c = 8.0373 Å
α = 59.75°, β = 59.75°, γ = 59.75°
Element x y z (fractional)
Nd (0.0000, 0.0000, 0.0000)
Y (0.3749, 0.3749, 0.3749)
Tm (0.3747, 0.3747, 0.8718)
Tm (0.3747, 0.8718, 0.3747)
Tm (0.7485, 0.7485, 0.7485)
Tm (0.8718, 0.3747, 0.3747)
S (0.1331, 0.1331, 0.5894)
S (0.1331, 0.5894, 0.1331)
S (0.1370, 0.1370, 0.1370)
S (0.1431, 0.6204, 0.6204)
S (0.5894, 0.1331, 0.1331)
S (0.6166, 0.6166, 0.6166)
S (0.6204, 0.1431, 0.6204)
S (0.6204, 0.6204, 0.1431)

Space-group type: R3m (160)
Magnetization, μB/f.u.: 0.00
Fermi-level density of states, states/eV/cell: 8.23
Formation energy from raw total energies, meV/atom: -1917
Final energy, eV for the cell shown: -89.0


DFT (GGA-PBE) results for an optimized crystal structure of Rb2AcZnO4.

a = 5.8755 Å, b = 5.8755 Å, c = 5.8755 Å
α = 106.91°, β = 106.91°, γ = 114.73°
Element x y z (fractional)
Rb (0.0000, 0.5000, 0.5000)
Rb (0.5000, 0.0000, 0.5000)
Ac (0.0000, 0.0000, 0.0000)
Zn (0.5000, 0.5000, 0.0000)
O (0.1334, 0.1334, 0.6984)
O (0.4350, 0.4350, 0.3016)
O (0.5650, 0.8666, 0.0000)
O (0.8666, 0.5650, 0.0000)

Space-group type: I-42m (121)
Magnetization, μB/f.u.: 1.06
Fermi-level density of states, states/eV/cell: 4.95
Formation energy from raw total energies, meV/atom: -1598
Final energy, eV for the cell shown: -39.9


DFT (GGA-PBE) results for an optimized crystal structure of Pa5Te5P.

a = 7.2826 Å, b = 7.2826 Å, c = 8.5335 Å
α = 107.44°, β = 107.44°, γ = 48.57°
Element x y z (fractional)
Pa (0.0000, 0.0000, 0.0000)
Pa (0.3377, 0.3377, 0.1400)
Pa (0.3469, 0.3469, 0.6986)
Pa (0.6531, 0.6531, 0.3014)
Pa (0.6623, 0.6623, 0.8600)
Te (0.1481, 0.1481, 0.7961)
Te (0.1718, 0.1718, 0.3450)
Te (0.5000, 0.5000, 0.5000)
Te (0.8282, 0.8282, 0.6550)
Te (0.8519, 0.8519, 0.2039)
P (0.5000, 0.5000, 0.0000)

Space-group type: C2/m (12)
Magnetization, μB/f.u.: 2.17
Fermi-level density of states, states/eV/cell: 20.87
Formation energy from raw total energies, meV/atom: -818
Final energy, eV for the cell shown: -77.6


DFT (GGA-PBE) results for an optimized crystal structure of Ac3Sb2Te.

a = 8.2730 Å, b = 8.2730 Å, c = 8.2730 Å
α = 146.39°, β = 131.78°, γ = 60.06°
Element x y z (fractional)
Ac (0.0000, 0.0000, 0.0000)
Ac (0.3281, 0.3281, 0.0000)
Ac (0.6719, 0.6719, 0.0000)
Sb (0.1651, 0.6651, 0.5000)
Sb (0.8349, 0.3349, 0.5000)
Te (0.5000, 0.0000, 0.5000)

Space-group type: Immm (71)
Magnetization, μB/f.u.: 0.00
Fermi-level density of states, states/eV/cell: 2.11
Formation energy from raw total energies, meV/atom: -1357
Final energy, eV for the cell shown: -31.9


DFT (GGA-PBE) results for an optimized crystal structure of CaCdTc2.

a = 4.3684 Å, b = 4.3684 Å, c = 6.8445 Å
α = 97.28°, β = 97.28°, γ = 42.14°
Element x y z (fractional)
Ca (0.0000, 0.0000, 0.0000)
Cd (0.7671, 0.7671, 0.3337)
Tc (0.2377, 0.2377, 0.7002)
Tc (0.5132, 0.5132, 0.5864)

Space-group type: Cm (8)
Magnetization, μB/f.u.: 0.00
Fermi-level density of states, states/eV/cell: 3.59
Final energy, eV for the cell shown: -22.2


DFT (GGA-PBE) results for an optimized crystal structure of Ac2Pm3Ga4.

a = 8.3560 Å, b = 8.3110 Å, c = 7.8954 Å
α = 90.00°, β = 106.21°, γ = 90.00°
Element x y z (fractional)
Ac (0.1899, 0.1763, 0.0714)
Ac (0.1899, 0.3237, 0.5714)
Ac (0.8101, 0.6763, 0.4286)
Ac (0.8101, 0.8237, 0.9286)
Pm (0.2404, 0.6763, 0.2521)
Pm (0.2404, 0.8237, 0.7521)
Pm (0.5000, 0.0000, 0.5000)
Pm (0.5000, 0.5000, 0.0000)
Pm (0.7596, 0.1763, 0.2479)
Pm (0.7596, 0.3237, 0.7479)
Ga (0.0791, 0.5360, 0.8761)
Ga (0.0791, 0.9640, 0.3761)
Ga (0.4984, 0.1153, 0.8800)
Ga (0.4984, 0.3847, 0.3800)
Ga (0.5016, 0.6153, 0.6200)
Ga (0.5016, 0.8847, 0.1200)
Ga (0.9209, 0.0360, 0.6239)
Ga (0.9209, 0.4640, 0.1239)

Space-group type: P2_1/c (14)
Magnetization, μB/f.u.: 0.00
Fermi-level density of states, states/eV/cell: 16.17
Final energy, eV for the cell shown: -78.4